Entry from Alexandria: a relaxed TlMoRh2N crystal (PBE).

The structure in CIF format:
```
data_TlMoRh2N
_cell_length_a 4.987
_cell_length_b 4.987
_cell_length_c 3.955
_cell_angle_alpha 90.00
_cell_angle_beta 90.00
_cell_angle_gamma 90.00
_symmetry_space_group_name_H-M 'P 4/m m m'
_symmetry_Int_Tables_number 123
_symmetry_space_group_name_Hall '-P 4 2'
loop_
_atom_site_label
_atom_site_type_symbol
_atom_site_fract_x
_atom_site_fract_y
_atom_site_fract_z
Tl1 Tl 0.000 0.000 0.000
Mo1 Mo 0.500 0.500 0.500
Rh1 Rh 0.000 0.500 0.000
N1 N 0.000 0.000 0.500
```

---

Entry from Alexandria: a relaxed VMo2RhN crystal (PBE).

The structure in CIF format:
```
data_VMo2RhN
_cell_length_a 4.096
_cell_length_b 4.096
_cell_length_c 3.940
_cell_angle_alpha 90.00
_cell_angle_beta 90.00
_cell_angle_gamma 90.00
_symmetry_space_group_name_H-M 'P 4/m m m'
_symmetry_Int_Tables_number 123
_symmetry_space_group_name_Hall '-P 4 2'
loop_
_atom_site_label
_atom_site_type_symbol
_atom_site_fract_x
_atom_site_fract_y
_atom_site_fract_z
V1 V 0.000 0.000 0.000
Mo1 Mo 0.000 0.500 0.500
Rh1 Rh 0.500 0.500 0.000
N1 N 0.000 0.000 0.500
```

---

| no. | formation energy from raw total energies (meV/atom) |
| --- | --- |
| 1 | 2430 |
| 2 | -323 |